The following is a DFT calculation (GGA+U) of a relaxed CrP2H13N2O10 crystal.

POSCAR file:
```
CrP2H13N2O10
1.0
-0.2751 1.1936 7.0670
-1.3703 -8.2725 -0.7215
9.5202 1.0627 -1.3146
P H O N Cr
4 26 20 4 2
Direct
0.2146 0.4568 0.7809
0.7854 0.5432 0.2191
0.6051 0.6813 0.7939
0.3949 0.3187 0.2061
0.7205 0.8677 0.3008
0.7913 0.4078 0.5633
0.5027 0.1119 0.7399
0.2795 0.1323 0.6992
0.4973 0.8881 0.2601
0.3289 0.7869 0.4394
0.2229 0.4074 0.0015
0.8356 0.9620 0.0783
0.5565 0.3238 0.4768
0.7771 0.5926 0.9985
0.8570 0.7565 0.6185
0.9522 0.7913 0.4821
0.4435 0.6762 0.5232
0.2596 0.9076 0.9869
0.0240 0.8398 0.9026
0.2087 0.5922 0.4367
0.7404 0.0924 0.0131
0.9760 0.1602 0.0974
0.0478 0.2087 0.5179
0.7745 0.3137 0.8980
0.6711 0.2131 0.5606
0.1430 0.2435 0.3815
0.2255 0.6863 0.1020
0.1335 0.7913 0.2199
0.8665 0.2087 0.7801
0.1644 0.0380 0.9217
0.6726 0.6573 0.6510
0.3609 0.0507 0.6882
0.2330 0.2860 0.0700
0.7915 0.4953 0.0522
0.7450 0.2064 0.8160
0.4935 0.8176 0.8221
0.2550 0.7936 0.1840
0.0186 0.1797 0.4082
0.5065 0.1824 0.1779
0.8779 0.4304 0.2916
0.5558 0.5050 0.2258
0.8795 0.7356 0.2944
0.7670 0.7140 0.9300
0.6391 0.9493 0.3118
0.1221 0.5696 0.7084
0.4442 0.4950 0.7742
0.2085 0.5047 0.9478
0.3274 0.3427 0.3490
0.1205 0.2644 0.7056
0.9814 0.8203 0.5918
0.6882 0.2951 0.4985
0.3118 0.7049 0.5015
0.1614 0.9110 0.8994
0.8386 0.0890 0.1006
0.2393 0.8097 0.7019
0.7607 0.1903 0.2981
```

Values from the calculation:
The value obtained for the density of states at the Fermi level is 0.0 states/eV per cell. The total moment is 6.0 μB/cell. The total energy is -327.4 eV/cell.